No. 1
# LiSc4Se4 (GGA-PBE, optimized geometry)
# - energy relative to the elements, uncorrected (meV per atom) = -1360
# - symmetry = I4/m (87)
# - raw total energy (eV/atom) = -5.935
# - DOS(E_F) (states/eV/f.u.) = 5.99
# - total moment (μB per formula unit) = 0.00
data_LiSc4Se4
_symmetry_space_group_name_H-M 'P 1'
_symmetry_Int_Tables_number 1
_symmetry_space_group_name_Hall 'P 1'
_cell_length_a 6.599
_cell_length_b 6.599
_cell_length_c 6.599
_cell_angle_alpha 99.58
_cell_angle_beta 99.58
_cell_angle_gamma 131.84
loop_
_atom_site_label
_atom_site_fract_x
_atom_site_fract_y
_atom_site_fract_z
_atom_site_occupancy
Li1 0.000 0.000 0.000 1
Sc1 0.198 0.400 0.598 1
Sc2 0.400 0.802 0.203 1
Sc3 0.600 0.198 0.797 1
Sc4 0.802 0.600 0.402 1
Se1 0.098 0.706 0.804 1
Se2 0.294 0.098 0.392 1
Se3 0.706 0.902 0.608 1
Se4 0.902 0.294 0.196 1

---

No. 2
# LiSc2Se (GGA-PBE, optimized geometry)
# - energy relative to the elements, uncorrected (meV per atom) = -619
# - symmetry = P4/mmm (123)
# - raw total energy (eV/atom) = -5.135
# - DOS(E_F) (states/eV/f.u.) = 2.33
# - total moment (μB per formula unit) = 0.89
data_LiSc2Se
_symmetry_space_group_name_H-M 'P 1'
_symmetry_Int_Tables_number 1
_symmetry_space_group_name_Hall 'P 1'
_cell_length_a 3.585
_cell_length_b 3.585
_cell_length_c 5.990
_cell_angle_alpha 90.00
_cell_angle_beta 90.00
_cell_angle_gamma 90.00
loop_
_atom_site_label
_atom_site_fract_x
_atom_site_fract_y
_atom_site_fract_z
_atom_site_occupancy
Li1 0.000 0.000 0.000 1
Sc1 0.500 0.500 0.250 1
Sc2 0.500 0.500 0.750 1
Se1 0.000 0.000 0.500 1

---

No. 3
# LiSc5Se8 (GGA-PBE, optimized geometry)
# - energy relative to the elements, uncorrected (meV per atom) = -1628
# - symmetry = F-43m (216)
# - raw total energy (eV/atom) = -6.017
# - total moment (μB per formula unit) = 0.00
data_LiSc5Se8
_symmetry_space_group_name_H-M 'P 1'
_symmetry_Int_Tables_number 1
_symmetry_space_group_name_Hall 'P 1'
_cell_length_a 7.938
_cell_length_b 7.938
_cell_length_c 7.938
_cell_angle_alpha 60.00
_cell_angle_beta 60.00
_cell_angle_gamma 60.00
loop_
_atom_site_label
_atom_site_fract_x
_atom_site_fract_y
_atom_site_fract_z
_atom_site_occupancy
Li1 0.000 0.000 0.000 1
Sc1 0.107 0.631 0.631 1
Sc2 0.250 0.250 0.250 1
Sc3 0.631 0.107 0.631 1
Sc4 0.631 0.631 0.107 1
Sc5 0.631 0.631 0.631 1
Se1 0.383 0.383 0.383 1
Se2 0.383 0.383 0.851 1
Se3 0.383 0.851 0.383 1
Se4 0.394 0.869 0.869 1
Se5 0.851 0.383 0.383 1
Se6 0.869 0.394 0.869 1
Se7 0.869 0.869 0.394 1
Se8 0.869 0.869 0.869 1

---

No. 4
# LiScSe2 (GGA-PBE, optimized geometry)
# - energy relative to the elements, uncorrected (meV per atom) = -510
# - symmetry = F-43m (216)
# - raw total energy (eV/atom) = -4.313
# - DOS(E_F) (states/eV/f.u.) = 0.01
# - total moment (μB per formula unit) = 0.00
data_LiScSe2
_symmetry_space_group_name_H-M 'P 1'
_symmetry_Int_Tables_number 1
_symmetry_space_group_name_Hall 'P 1'
_cell_length_a 6.788
_cell_length_b 6.788
_cell_length_c 6.788
_cell_angle_alpha 90.00
_cell_angle_beta 90.00
_cell_angle_gamma 90.00
loop_
_atom_site_label
_atom_site_fract_x
_atom_site_fract_y
_atom_site_fract_z
_atom_site_occupancy
Li1 0.000 0.000 0.000 1
Li2 0.000 0.500 0.500 1
Li3 0.500 0.000 0.500 1
Li4 0.500 0.500 0.000 1
Sc1 0.250 0.250 0.250 1
Sc2 0.250 0.750 0.750 1
Sc3 0.750 0.250 0.750 1
Sc4 0.750 0.750 0.250 1
Se1 0.000 0.000 0.500 1
Se2 0.000 0.500 0.000 1
Se3 0.250 0.250 0.750 1
Se4 0.250 0.750 0.250 1
Se5 0.500 0.000 0.000 1
Se6 0.500 0.500 0.500 1
Se7 0.750 0.250 0.250 1
Se8 0.750 0.750 0.750 1

---

No. 5
# Li2ScSe (GGA-PBE, optimized geometry)
# - energy relative to the elements, uncorrected (meV per atom) = -684
# - symmetry = C2/m (12)
# - raw total energy (eV/atom) = -4.095
# - DOS(E_F) (states/eV/f.u.) = 2.11
# - total moment (μB per formula unit) = 0.00
data_Li2ScSe
_symmetry_space_group_name_H-M 'P 1'
_symmetry_Int_Tables_number 1
_symmetry_space_group_name_Hall 'P 1'
_cell_length_a 12.998
_cell_length_b 3.759
_cell_length_c 3.760
_cell_angle_alpha 90.00
_cell_angle_beta 106.67
_cell_angle_gamma 90.00
loop_
_atom_site_label
_atom_site_fract_x
_atom_site_fract_y
_atom_site_fract_z
_atom_site_occupancy
Li1 0.199 0.000 0.199 1
Li2 0.301 0.500 0.801 1
Li3 0.699 0.500 0.199 1
Li4 0.801 0.000 0.801 1
Sc1 0.000 0.500 0.500 1
Sc2 0.500 0.000 0.500 1
Se1 0.000 0.000 0.000 1
Se2 0.500 0.500 0.000 1

---

No. 6
# LiSc6Se8 (GGA-PBE, optimized geometry)
# - energy relative to the elements, uncorrected (meV per atom) = -1629
# - symmetry = Fm-3m (225)
# - raw total energy (eV/atom) = -6.148
# - DOS(E_F) (states/eV/f.u.) = 4.17
# - total moment (μB per formula unit) = 0.00
data_LiSc6Se8
_symmetry_space_group_name_H-M 'P 1'
_symmetry_Int_Tables_number 1
_symmetry_space_group_name_Hall 'P 1'
_cell_length_a 7.689
_cell_length_b 7.689
_cell_length_c 7.689
_cell_angle_alpha 60.00
_cell_angle_beta 60.00
_cell_angle_gamma 60.00
loop_
_atom_site_label
_atom_site_fract_x
_atom_site_fract_y
_atom_site_fract_z
_atom_site_occupancy
Li1 0.000 0.000 0.000 1
Sc1 0.000 0.000 0.500 1
Sc2 0.000 0.500 0.000 1
Sc3 0.000 0.500 0.500 1
Sc4 0.500 0.000 0.000 1
Sc5 0.500 0.000 0.500 1
Sc6 0.500 0.500 0.000 1
Se1 0.250 0.250 0.250 1
Se2 0.251 0.251 0.749 1
Se3 0.251 0.749 0.251 1
Se4 0.251 0.749 0.749 1
Se5 0.749 0.251 0.251 1
Se6 0.749 0.251 0.749 1
Se7 0.749 0.749 0.251 1
Se8 0.750 0.750 0.750 1

---

No. 7
# LiScSe3 (GGA-PBE, optimized geometry)
# - energy relative to the elements, uncorrected (meV per atom) = -740
# - symmetry = Pm-3m (221)
# - raw total energy (eV/atom) = -4.479
# - relative energy among the computed polymorphs (eV/atom) = 0.000
# - DOS(E_F) (states/eV/f.u.) = 6.69
# - total moment (μB per formula unit) = 0.00
data_LiScSe3
_symmetry_space_group_name_H-M 'P 1'
_symmetry_Int_Tables_number 1
_symmetry_space_group_name_Hall 'P 1'
_cell_length_a 5.197
_cell_length_b 5.197
_cell_length_c 5.197
_cell_angle_alpha 90.00
_cell_angle_beta 90.00
_cell_angle_gamma 90.00
loop_
_atom_site_label
_atom_site_fract_x
_atom_site_fract_y
_atom_site_fract_z
_atom_site_occupancy
Li1 0.000 0.000 0.000 1
Sc1 0.500 0.500 0.500 1
Se1 0.000 0.500 0.500 1
Se2 0.500 0.000 0.500 1
Se3 0.500 0.500 0.000 1

---

No. 8
# LiSc4Se5 (GGA-PBE, optimized geometry)
# - energy relative to the elements, uncorrected (meV per atom) = -1617
# - symmetry = I4 (79)
# - raw total energy (eV/atom) = -6.083
# - DOS(E_F) (states/eV/f.u.) = 4.65
# - total moment (μB per formula unit) = 0.00
data_LiSc4Se5
_symmetry_space_group_name_H-M 'P 1'
_symmetry_Int_Tables_number 1
_symmetry_space_group_name_Hall 'P 1'
_cell_length_a 6.695
_cell_length_b 6.695
_cell_length_c 6.695
_cell_angle_alpha 99.53
_cell_angle_beta 99.53
_cell_angle_gamma 131.98
loop_
_atom_site_label
_atom_site_fract_x
_atom_site_fract_y
_atom_site_fract_z
_atom_site_occupancy
Li1 0.000 0.000 0.000 1
Sc1 0.202 0.400 0.599 1
Sc2 0.400 0.801 0.198 1
Sc3 0.603 0.202 0.802 1
Sc4 0.801 0.603 0.401 1
Se1 0.098 0.704 0.800 1
Se2 0.299 0.098 0.395 1
Se3 0.501 0.501 0.000 1
Se4 0.704 0.904 0.605 1
Se5 0.904 0.299 0.200 1

---

No. 9
# Li3ScSe (GGA-PBE, optimized geometry)
# - energy relative to the elements, uncorrected (meV per atom) = 790
# - symmetry = Pm-3m (221)
# - raw total energy (eV/atom) = -2.321
# - relative energy among the computed polymorphs (eV/atom) = 0.991
# - DOS(E_F) (states/eV/f.u.) = 10.85
# - total moment (μB per formula unit) = 2.00
data_Li3ScSe
_symmetry_space_group_name_H-M 'P 1'
_symmetry_Int_Tables_number 1
_symmetry_space_group_name_Hall 'P 1'
_cell_length_a 5.262
_cell_length_b 5.262
_cell_length_c 5.262
_cell_angle_alpha 90.00
_cell_angle_beta 90.00
_cell_angle_gamma 90.00
loop_
_atom_site_label
_atom_site_fract_x
_atom_site_fract_y
_atom_site_fract_z
_atom_site_occupancy
Li1 0.000 0.000 0.500 1
Li2 0.000 0.500 0.000 1
Li3 0.500 0.000 0.000 1
Sc1 0.000 0.000 0.000 1
Se1 0.500 0.500 0.500 1

---

No. 10
# LiSc4Se5 (GGA-PBE, optimized geometry)
# - energy relative to the elements, uncorrected (meV per atom) = -1616
# - symmetry = Immm (71)
# - raw total energy (eV/atom) = -6.082
# - DOS(E_F) (states/eV/f.u.) = 2.93
# - total moment (μB per formula unit) = 0.00
data_LiSc4Se5
_symmetry_space_group_name_H-M 'P 1'
_symmetry_Int_Tables_number 1
_symmetry_space_group_name_Hall 'P 1'
_cell_length_a 10.242
_cell_length_b 10.242
_cell_length_c 10.242
_cell_angle_alpha 158.20
_cell_angle_beta 149.13
_cell_angle_gamma 38.11
loop_
_atom_site_label
_atom_site_fract_x
_atom_site_fract_y
_atom_site_fract_z
_atom_site_occupancy
Li1 0.000 0.000 0.000 1
Sc1 0.202 0.202 0.000 1
Sc2 0.400 0.400 0.000 1
Sc3 0.600 0.600 0.000 1
Sc4 0.798 0.798 0.000 1
Se1 0.100 0.600 0.500 1
Se2 0.301 0.801 0.500 1
Se3 0.500 0.000 0.500 1
Se4 0.699 0.199 0.500 1
Se5 0.900 0.400 0.500 1